# 1
First-principles (SCAN) data for Y5Ge3 at its PBEsol-relaxed geometry, as listed in the Alexandria database.

Computed properties:
E_form = -0.9243 eV/atom
size of the total moment = 0.0 μB per cell
Fermi-level density of states = 0.46 states/eV/atom

a b c (Å): 8.4142 8.4142 6.3294
angles (deg): 90.00 90.00 120.00
Space group P6_3/mcm (No. 193)
One atom of each set of equivalent atoms:
Y (0.0000, 0.2422, 0.2500) [6 per cell]
Y (0.3333, 0.6667, 0.0000) [4 per cell]
Ge (0.0000, 0.3944, 0.7500) [6 per cell]

# 2
First-principles (SCAN) data for ScPb at its PBEsol-relaxed geometry, as listed in the Alexandria database.

Computed properties:
E_form = -0.5913 eV/atom
size of the total moment = 0.0 μB per cell
Fermi-level density of states = 0.57 states/eV/atom

a b c (Å): 10.0013 9.0656 6.2265
angles (deg): 90.00 90.00 90.00
Space group Pbcm (No. 57)
One atom of each set of equivalent atoms:
Sc (0.1037, 0.2500, 0.0000) [4 per cell]
Sc (0.1745, 0.6346, 0.2500) [4 per cell]
Sc (0.3887, 0.0332, 0.2500) [4 per cell]
Pb (0.0892, 0.5477, 0.7500) [4 per cell]
Pb (0.3335, 0.1308, 0.7500) [4 per cell]
Pb (0.4102, 0.7500, 0.0000) [4 per cell]

# 3
First-principles (SCAN) data for K2Cu2Hg at its PBEsol-relaxed geometry, as listed in the Alexandria database.

Computed properties:
E_form = 0.1585 eV/atom
size of the total moment = 0.0 μB per cell
Fermi-level density of states = 0.42 states/eV/atom

a b c (Å): 3.4213 3.4213 21.6209
angles (deg): 90.00 90.00 90.00
Space group I4/mmm (No. 139)
One atom of each set of equivalent atoms:
K (0.0000, 0.0000, 0.1226) [4 per cell]
Cu (0.0000, 0.5000, 0.2500) [4 per cell]
Hg (0.0000, 0.0000, 0.5000) [2 per cell]

# 4
First-principles (SCAN) data for CsPdSe2 at its PBEsol-relaxed geometry, as listed in the Alexandria database.

Computed properties:
size of the total moment = 0.0 μB per cell
E_form (uncorrected) = -2.5 eV/f.u.
Fermi-level density of states = 0.82 states/eV/atom

a b c (Å): 7.8388 7.8388 7.7185
angles (deg): 90.00 90.00 90.00
Space group I-42d (No. 122)
One atom of each set of equivalent atoms:
Cs (0.0000, 0.0000, 0.0000) [4 per cell]
Pd (0.0000, 0.0000, 0.5000) [4 per cell]
Se (0.1302, 0.2500, 0.6250) [8 per cell]

Calculated volume across the listed records, respectively: 24.25, 23.52, 25.31, 29.64 Å³/atom.